# SrAc14La (GGA-PBE, relaxed)
# crystal system = orthorhombic
# energy = -3.98 eV/atom
# formation energy from the elements = 24 meV per atom
data_SrAc14La
_chemical_formula_sum 'Sr2 Ac28 La2'
_space_group_name_H-M_alt 'A m m 2'
_space_group_IT_number 38
_cell_length_a 11.2997
_cell_length_b 11.2973
_cell_length_c 11.2988
_cell_angle_alpha 90.00
_cell_angle_beta 90.00
_cell_angle_gamma 90.00
loop_
_space_group_symop_operation_xyz
'x,y,z'
'-x,-y,z'
'-x,y,z'
'x,-y,z'
'x,y+1/2,z+1/2'
'-x,-y+1/2,z+1/2'
'-x,y+1/2,z+1/2'
'x,-y+1/2,z+1/2'
loop_
_atom_site_label
_atom_site_type_symbol
_atom_site_fract_x
_atom_site_fract_y
_atom_site_fract_z
Sr1 Sr 0.0000 0.0000 0.0000
Ac1 Ac 0.0000 0.2487 0.7498
Ac2 Ac 0.2498 0.0000 0.2542
Ac3 Ac 0.2508 0.2456 0.4997
Ac4 Ac 0.2522 0.0000 0.7453
Ac5 Ac 0.5000 0.0000 0.9997
Ac6 Ac 0.5000 0.0000 0.4995
Ac7 Ac 0.5000 0.2488 0.2496
La1 La 0.0000 0.0000 0.5000

***

# BaCaTl2Cd2 (GGA-PBE, relaxed)
# crystal system = trigonal
# energy = -2.10 eV/atom
# formation energy from the elements = -354 meV per atom
data_BaCaTl2Cd2
_chemical_formula_sum 'Ba1 Ca1 Tl2 Cd2'
_space_group_name_H-M_alt 'P -3 m 1'
_space_group_IT_number 164
_space_group_name_Hall '-P 3 2"'
_cell_length_a 5.1345
_cell_length_b 5.1345
_cell_length_c 8.2199
_cell_angle_alpha 90.00
_cell_angle_beta 90.00
_cell_angle_gamma 120.00
loop_
_atom_site_label
_atom_site_type_symbol
_atom_site_fract_x
_atom_site_fract_y
_atom_site_fract_z
Ba1 Ba 0.0000 0.0000 0.0000
Ca1 Ca 0.0000 0.0000 0.5000
Tl1 Tl 0.3333 0.6667 0.2859
Cd1 Cd 0.3333 0.6667 0.6993

***

# La6CdAg3 (GGA-PBE, relaxed)
# crystal system = monoclinic
# energy = -4.08 eV/atom
# formation energy from the elements = -176 meV per atom
data_La6CdAg3
_chemical_formula_sum 'La12 Cd2 Ag6'
_space_group_name_H-M_alt 'P 1 21/m 1'
_space_group_IT_number 11
_cell_length_a 10.1815
_cell_length_b 5.2395
_cell_length_c 11.2608
_cell_angle_alpha 90.00
_cell_angle_beta 98.06
_cell_angle_gamma 90.00
loop_
_space_group_symop_operation_xyz
'x,y,z'
'-x,-y,-z'
'-x,y+1/2,-z'
'x,-y+1/2,z'
loop_
_atom_site_label
_atom_site_type_symbol
_atom_site_fract_x
_atom_site_fract_y
_atom_site_fract_z
La1 La 0.0580 0.2500 0.4036
La2 La 0.1412 0.7500 0.1855
La3 La 0.2299 0.2500 0.9715
La4 La 0.3097 0.7500 0.7747
La5 La 0.3840 0.2500 0.2462
La6 La 0.4218 0.2500 0.5859
Cd1 Cd 0.4548 0.7500 0.0758
Ag1 Ag 0.0320 0.7500 0.8892
Ag2 Ag 0.1268 0.2500 0.6877
Ag3 Ag 0.2677 0.7500 0.4610

***

# Er2Ge5 (GGA-PBE, relaxed)
# crystal system = orthorhombic
# energy = -5.12 eV/atom
# formation energy from the elements = -516 meV per atom
data_Er2Ge5
_chemical_formula_sum 'Er4 Ge10'
_space_group_name_H-M_alt 'P m m n'
_space_group_IT_number 59
_cell_length_a 3.9263
_cell_length_b 4.0317
_cell_length_c 18.2674
_cell_angle_alpha 90.00
_cell_angle_beta 90.00
_cell_angle_gamma 90.00
loop_
_space_group_symop_operation_xyz
'x,y,z'
'-x,-y,-z'
'-x+1/2,-y+1/2,z'
'x+1/2,y+1/2,-z'
'x+1/2,-y,-z'
'-x+1/2,y,z'
'-x,y+1/2,-z'
'x,-y+1/2,z'
loop_
_atom_site_label
_atom_site_type_symbol
_atom_site_fract_x
_atom_site_fract_y
_atom_site_fract_z
Er1 Er 0.2500 0.2500 0.1270
Er2 Er 0.2500 0.7500 0.6912
Ge1 Ge 0.2500 0.2500 0.4319
Ge2 Ge 0.2500 0.2500 0.5696
Ge3 Ge 0.2500 0.2500 0.8309
Ge4 Ge 0.2500 0.7500 0.0034
Ge5 Ge 0.2500 0.7500 0.2614

***

# PmTiGaCu (GGA-PBE, relaxed)
# crystal system = cubic
# energy = -5.11 eV/atom
# formation energy from the elements = -164 meV per atom
data_PmTiGaCu
_chemical_formula_sum 'Pm4 Ti4 Ga4 Cu4'
_space_group_name_H-M_alt 'F -4 3 m'
_space_group_IT_number 216
_space_group_name_Hall 'F -4 2 3'
_cell_length_a 6.8145
_cell_length_b 6.8145
_cell_length_c 6.8145
_cell_angle_alpha 90.00
_cell_angle_beta 90.00
_cell_angle_gamma 90.00
loop_
_atom_site_label
_atom_site_type_symbol
_atom_site_fract_x
_atom_site_fract_y
_atom_site_fract_z
Pm1 Pm 0.0000 0.0000 0.0000
Ti1 Ti 0.0000 0.0000 0.5000
Ga1 Ga 0.2500 0.2500 0.2500
Cu1 Cu 0.2500 0.2500 0.7500

***

# Al4C5 (GGA-PBE, relaxed)
# crystal system = tetragonal
# energy = -5.96 eV/atom
# formation energy from the elements = 828 meV per atom
data_Al4C5
_chemical_formula_sum 'Al8 C10'
_space_group_name_H-M_alt 'I 4/m m m'
_space_group_IT_number 139
_space_group_name_Hall '-I 4 2'
_cell_length_a 8.9074
_cell_length_b 8.9074
_cell_length_c 2.5216
_cell_angle_alpha 90.00
_cell_angle_beta 90.00
_cell_angle_gamma 90.00
loop_
_atom_site_label
_atom_site_type_symbol
_atom_site_fract_x
_atom_site_fract_y
_atom_site_fract_z
Al1 Al 0.0000 0.2228 0.0000
C1 C 0.0000 0.0000 0.0000
C2 C 0.2171 0.2171 0.5000

***

# CaO2F (GGA-PBE, relaxed)
# crystal system = monoclinic
# energy = -5.50 eV/atom
# formation energy from raw total energies = -2.06 eV per atom
data_CaO2F
_chemical_formula_sum 'Ca1 O2 F1'
_space_group_name_H-M_alt 'P 1 m 1'
_space_group_IT_number 6
_cell_length_a 3.8818
_cell_length_b 4.5701
_cell_length_c 3.9156
_cell_angle_alpha 90.00
_cell_angle_beta 114.92
_cell_angle_gamma 90.00
loop_
_space_group_symop_operation_xyz
'x,y,z'
'x,-y,z'
loop_
_atom_site_label
_atom_site_type_symbol
_atom_site_fract_x
_atom_site_fract_y
_atom_site_fract_z
Ca1 Ca 0.0000 0.0000 0.0000
O1 O 0.8338 0.5000 0.1470
O2 O 0.9881 0.5000 0.8936
F1 F 0.3560 0.0000 0.6402